DFT (PBE) results for an optimized crystal structure of Pr2Sm8Tm3.

abc: 8.8124 8.8124 6.8831
angles: 105.23 105.23 63.19
Closest atoms and distances in Å follow each position.
Positions (direct):
Pr 0.2153 0.2153 0.4123  7 Sm 3.37-3.57, 1 Tm 3.58
Pr 0.7847 0.7847 0.5877  7 Sm 3.37-3.57, 1 Tm 3.58
Sm 0.1874 0.1874 0.8795  1 Tm 3.17, 1 Pr 3.37, 2 Sm 3.49
Sm 0.1987 0.5648 0.8234  5 Sm 3.38-3.72, 2 Pr 3.44-3.57, 2 Tm 3.44-3.52
Sm 0.4169 0.4169 0.2791  3 Sm 3.29-3.46, 1 Pr 3.42, 2 Tm 3.46
Sm 0.4352 0.8013 0.1766  5 Sm 3.38-3.72, 2 Pr 3.44-3.57, 2 Tm 3.44-3.52
Sm 0.5648 0.1987 0.8234  5 Sm 3.38-3.72, 2 Pr 3.44-3.57, 2 Tm 3.44-3.52
Sm 0.5831 0.5831 0.7209  3 Sm 3.29-3.46, 1 Pr 3.42, 2 Tm 3.46
Sm 0.8013 0.4352 0.1766  5 Sm 3.38-3.72, 2 Pr 3.44-3.57, 2 Tm 3.44-3.52
Sm 0.8126 0.8126 0.1205  1 Tm 3.17, 1 Pr 3.37, 2 Sm 3.49
Tm 0.0000 0.0000 0.0000  6 Sm 3.17-3.44
Tm 0.1702 0.8298 0.5000  1 Tm 3.14, 4 Sm 3.46-3.52
Tm 0.8298 0.1702 0.5000  1 Tm 3.14, 4 Sm 3.46-3.52

## Properties
Space-group type: C2/m (12)
Relative energy among the computed polymorphs (meV per atom): 17
DFT formation energy (meV/atom): 211
DFT total energy (eV/atom): -4.460

=====

DFT (PBE) results for an optimized crystal structure of Mg2ZnSi3Pt4.

abc: 3.9064 3.9064 10.9847
angles: 90.00 90.00 90.00
Closest atoms and distances in Å follow each position.
Positions (direct):
Mg 0.0000 0.5000 0.2312  4 Pt 2.90, 6 Si 3.12-3.20, 2 Zn 3.20
Mg 0.5000 0.0000 0.7688  4 Pt 2.90, 6 Si 3.12-3.20, 2 Zn 3.20
Zn 0.5000 0.5000 0.0000  4 Pt 2.57, 4 Si 2.76
Si 0.0000 0.0000 0.0000  4 Pt 2.57, 4 Zn 2.76
Si 0.0000 0.5000 0.6361  5 Pt 2.33-2.46
Si 0.5000 0.0000 0.3639  5 Pt 2.33-2.46
Pt 0.0000 0.0000 0.5000  4 Si 2.46
Pt 0.0000 0.5000 0.8478  3 Si 2.33-2.57, 2 Zn 2.57
Pt 0.5000 0.0000 0.1522  3 Si 2.33-2.57, 2 Zn 2.57
Pt 0.5000 0.5000 0.5000  4 Si 2.46

## Properties
Space-group type: P-4m2 (115)
DFT total energy (eV/atom): -5.138
Formation energy from raw total energies (kJ per mole of atoms): -62.59

=====

DFT (PBE) results for an optimized crystal structure of Rb7Au3O2.

abc: 14.9101 14.9101 14.9101
angles: 158.32 158.32 30.85
Closest atoms and distances in Å follow each position.
Positions (direct):
Rb 0.0000 0.0000 0.0000  2 O 2.84
Rb 0.0966 0.5966 0.5000  2 O 2.80
Rb 0.1925 0.1925 0.0000  1 O 2.69
Rb 0.4034 0.9034 0.5000  2 O 2.80
Rb 0.5966 0.0966 0.5000  2 O 2.80
Rb 0.8075 0.8075 0.0000  1 O 2.69
Rb 0.9034 0.4034 0.5000  2 O 2.80
Au 0.3176 0.3176 0.0000  9 Rb 3.60-3.98
Au 0.5000 0.5000 0.0000  12 Rb 3.95-3.97
Au 0.6824 0.6824 0.0000  9 Rb 3.60-3.98
O 0.0989 0.0989 0.0000  6 Rb 2.69-2.84
O 0.9011 0.9011 0.0000  6 Rb 2.69-2.84

## Properties
Space-group type: I4/mmm (139)
Relative energy among the computed polymorphs (meV per atom): 0
DFT total energy (eV/atom): -2.834
Formation energy from raw total energies (kJ per mole of atoms): -60.19

=====

| no. | V (Å³/f.u.) |
| --- | --- |
| 1 | 454 |
| 2 | 168 |
| 3 | 452 |